# 1
Below is a relaxed structure of SnPd3Au4, with properties calculated at the PBE level.

The structure in CIF format:
```
data_SnPd3Au4
_cell_length_a 11.767
_cell_length_b 11.767
_cell_length_c 4.512
_cell_angle_alpha 94.39
_cell_angle_beta 94.39
_cell_angle_gamma 14.26
_space_group_name_H-M_alt 'P 1'
_space_group_IT_number 1
loop_
_space_group_symop_operation_xyz
'x,y,z'
loop_
_atom_site_label
_atom_site_type_symbol
_atom_site_fract_x
_atom_site_fract_y
_atom_site_fract_z
Sn1 Sn 0.000 0.000 0.000
Pd1 Pd 0.330 0.330 0.273
Pd2 Pd 0.500 0.500 0.500
Pd3 Pd 0.670 0.670 0.727
Au1 Au 0.213 0.213 0.243
Au2 Au 0.398 0.398 0.801
Au3 Au 0.602 0.602 0.199
Au4 Au 0.787 0.787 0.757
```

Computed properties:
- Energy relative to the elements: 0.03 eV per atom
- D(E_F): 0.4819 states/eV/atom
- Symmetry: No. 12
- Total magnetization: 0.0 μB/f.u.
- Crystal system: monoclinic

# 2
Below is a relaxed structure of SnPdAu2, with properties calculated at the PBE level.

The structure in CIF format:
```
data_SnPdAu2
_cell_length_a 4.887
_cell_length_b 4.887
_cell_length_c 4.432
_cell_angle_alpha 116.63
_cell_angle_beta 116.63
_cell_angle_gamma 53.91
_space_group_name_H-M_alt 'P 1'
_space_group_IT_number 1
loop_
_space_group_symop_operation_xyz
'x,y,z'
loop_
_atom_site_label
_atom_site_type_symbol
_atom_site_fract_x
_atom_site_fract_y
_atom_site_fract_z
Sn1 Sn 0.000 0.000 0.000
Pd1 Pd 0.750 0.750 0.249
Au1 Au 0.250 0.250 0.748
Au2 Au 0.500 0.500 0.499
```

Computed properties:
- Energy relative to the elements: -0.19 eV per atom
- D(E_F): 0.4138 states/eV/atom
- Symmetry: No. 8
- Total magnetization: 0.0 μB/f.u.
- Crystal system: monoclinic